DFT (PBE) results for an optimized crystal structure of Tb4Pr2HoTh.

Cell: 5.9586 5.9637 9.5207 Å, 51.22 90.00 90.00°
Closest atoms and distances in Å follow each position.
Fractional coordinates of all 8 atoms:
Tb (0.0000, 0.7496, 0.7500)  2 Th 3.51, 4 Pr 3.51, 2 Ho 3.51, 2 Tb 3.71
Tb (0.0000, 0.2504, 0.2500)  2 Th 3.51, 4 Pr 3.51, 2 Ho 3.51, 2 Tb 3.71
Tb (0.5000, 0.7508, 0.2489)  4 Pr 3.51-3.52, 2 Th 3.51, 2 Ho 3.51, 2 Tb 3.70-3.73
Tb (0.5000, 0.2492, 0.7511)  4 Pr 3.51-3.52, 2 Th 3.51, 2 Ho 3.51, 2 Tb 3.70-3.73
Pr (0.0000, 0.0000, 0.0000)  8 Tb 3.51, 2 Ho 3.71
Pr (0.5000, 0.0000, 0.5000)  8 Tb 3.51-3.52, 2 Th 3.71
Ho (0.0000, 0.5000, 0.5000)  8 Tb 3.51, 2 Pr 3.71
Th (0.5000, 0.5000, 0.0000)  8 Tb 3.51, 2 Pr 3.71

Calculated values
DOS(E_F) (states/eV/cell): 14.7
Total moment (μB/cell): 0.00
Final energy (eV/cell): -39.07